# Ag2SnAu PBE-GGA optimized geometry
data_Ag2SnAu
_cell_length_a 4.214
_cell_length_b 4.214
_cell_length_c 4.376
_cell_angle_alpha 90.00
_cell_angle_beta 90.00
_cell_angle_gamma 90.00
_space_group_name_H-M_alt 'P 4/m m m'
_space_group_IT_number 123
_space_group_name_Hall '-P 4 2'
loop_
_atom_site_label
_atom_site_fract_x
_atom_site_fract_y
_atom_site_fract_z
Ag1 0.000 0.500 0.000
Sn1 0.000 0.000 0.500
Au1 0.500 0.500 0.500
# size of the total moment = 0.000 Bohr magnetons per cell
# crystal system = tetragonal
# DFT formation energy = -0.85 kcal/mol of atoms

---

# AgSnAu3 PBE-GGA optimized geometry
data_AgSnAu3
_cell_length_a 5.091
_cell_length_b 5.091
_cell_length_c 5.091
_cell_angle_alpha 90.00
_cell_angle_beta 90.00
_cell_angle_gamma 90.00
_space_group_name_H-M_alt 'P m -3 m'
_space_group_IT_number 221
_space_group_name_Hall '-P 4 2 3'
loop_
_atom_site_label
_atom_site_fract_x
_atom_site_fract_y
_atom_site_fract_z
Ag1 0.000 0.000 0.000
Sn1 0.500 0.500 0.500
Au1 0.000 0.000 0.500
# size of the total moment = 0.000 Bohr magnetons per cell
# energy relative to the lowest polymorph listed for this composition = 0.628 eV/atom
# crystal system = cubic
# DFT formation energy = 13.19 kcal/mol of atoms

---

# AgSn8Au2 PBE-GGA optimized geometry
data_AgSn8Au2
_cell_length_a 19.397
_cell_length_b 4.266
_cell_length_c 6.853
_cell_angle_alpha 90.00
_cell_angle_beta 98.44
_cell_angle_gamma 90.00
_space_group_name_H-M_alt 'C 1 2/m 1'
_space_group_IT_number 12
_space_group_name_Hall '-C 2y'
loop_
_atom_site_label
_atom_site_fract_x
_atom_site_fract_y
_atom_site_fract_z
Ag1 0.000 0.000 0.000
Sn1 0.031 0.500 0.734
Sn2 0.096 0.000 0.437
Sn3 0.149 0.000 0.975
Sn4 0.219 0.500 0.298
Au1 0.177 0.500 0.691
# size of the total moment = 0.000 Bohr magnetons per cell
# crystal system = monoclinic
# DFT formation energy = -0.57 kcal/mol of atoms

---

# AgSnAu4 PBE-GGA optimized geometry
data_AgSnAu4
_cell_length_a 7.887
_cell_length_b 7.887
_cell_length_c 7.887
_cell_angle_alpha 90.00
_cell_angle_beta 90.00
_cell_angle_gamma 90.00
_space_group_name_H-M_alt 'F -4 3 m'
_space_group_IT_number 216
_space_group_name_Hall 'F -4 2 3'
loop_
_atom_site_label
_atom_site_fract_x
_atom_site_fract_y
_atom_site_fract_z
Ag1 0.000 0.000 0.000
Sn1 0.250 0.250 0.250
Au1 0.125 0.125 0.625
# size of the total moment = 0.000 Bohr magnetons per cell
# energy relative to the lowest polymorph listed for this composition = 0.075 eV/atom
# crystal system = cubic
# DFT formation energy = 0.47 kcal/mol of atoms

---

# Ag8Sn2Au3 PBE-GGA optimized geometry
data_Ag8Sn2Au3
_cell_length_a 5.4698
_cell_length_b 5.4698
_cell_length_c 30.9375
_cell_angle_alpha 90.00
_cell_angle_beta 90.00
_cell_angle_gamma 120.00
_space_group_name_H-M_alt 'R -3 m'
_space_group_IT_number 166
_space_group_name_Hall '-R 3 2"'
loop_
_atom_site_label
_atom_site_fract_x
_atom_site_fract_y
_atom_site_fract_z
Ag1 0.0000 0.0000 0.2284
Ag2 0.0004 0.5002 0.2730
Sn1 0.0000 0.0000 0.1399
Au1 0.0000 0.0000 0.3171
Au2 0.0000 0.0000 0.5000
# size of the total moment = 0.000 Bohr magnetons per cell
# crystal system = trigonal
# DFT formation energy = 2.62 kcal/mol of atoms

---

# AgSn2Au PBE-GGA optimized geometry
data_AgSn2Au
_cell_length_a 3.5728
_cell_length_b 3.5728
_cell_length_c 27.8301
_cell_angle_alpha 90.00
_cell_angle_beta 90.00
_cell_angle_gamma 120.00
_space_group_name_H-M_alt 'R -3 m'
_space_group_IT_number 166
_space_group_name_Hall '-R 3 2"'
loop_
_atom_site_label
_atom_site_fract_x
_atom_site_fract_y
_atom_site_fract_z
Ag1 0.0000 0.0000 0.0000
Sn1 0.0000 0.0000 0.0973
Au1 0.0000 0.0000 0.5000
# size of the total moment = 0.000 Bohr magnetons per cell
# energy relative to the lowest polymorph listed for this composition = 0.141 eV/atom
# crystal system = trigonal
# DFT formation energy = 1.78 kcal/mol of atoms

---

# Ag12Sn2Au5 PBE-GGA optimized geometry
data_Ag12Sn2Au5
_cell_length_a 13.213
_cell_length_b 8.101
_cell_length_c 7.084
_cell_angle_alpha 90.00
_cell_angle_beta 99.69
_cell_angle_gamma 90.00
_space_group_name_H-M_alt 'C 1 2/m 1'
_space_group_IT_number 12
_space_group_name_Hall '-C 2y'
loop_
_atom_site_label
_atom_site_fract_x
_atom_site_fract_y
_atom_site_fract_z
Ag1 0.057 0.000 0.220
Ag2 0.104 0.214 0.928
Ag3 0.133 0.500 0.361
Ag4 0.246 0.184 0.310
Sn1 0.000 0.269 0.500
Au1 0.000 0.500 0.000
Au2 0.144 0.000 0.610
Au3 0.222 0.500 0.023
# size of the total moment = 0.000 Bohr magnetons per cell
# crystal system = monoclinic
# DFT formation energy = 0.89 kcal/mol of atoms

---

# Ag8SnAu4 PBE-GGA optimized geometry
data_Ag8SnAu4
_cell_length_a 2.920
_cell_length_b 4.726
_cell_length_c 18.079
_cell_angle_alpha 90.00
_cell_angle_beta 90.00
_cell_angle_gamma 90.00
_space_group_name_H-M_alt 'P m m 2'
_space_group_IT_number 25
_space_group_name_Hall 'P 2 -2'
loop_
_atom_site_label
_atom_site_fract_x
_atom_site_fract_y
_atom_site_fract_z
Ag1 0.000 0.000 0.000
Ag2 0.000 0.000 0.281
Ag3 0.000 0.500 0.195
Ag4 0.000 0.500 0.621
Ag5 0.500 0.000 0.575
Ag6 0.500 0.000 0.857
Ag7 0.500 0.500 0.050
Ag8 0.500 0.500 0.765
Sn1 0.000 0.000 0.436
Au1 0.000 0.000 0.714
Au2 0.000 0.500 0.907
Au3 0.500 0.000 0.142
Au4 0.500 0.500 0.353
# size of the total moment = 0.000 Bohr magnetons per cell
# crystal system = orthorhombic
# DFT formation energy = 0.26 kcal/mol of atoms

---

# AgSnAu2 PBE-GGA optimized geometry
data_AgSnAu2
_cell_length_a 4.0543
_cell_length_b 4.0543
_cell_length_c 18.9863
_cell_angle_alpha 90.00
_cell_angle_beta 90.00
_cell_angle_gamma 120.00
_space_group_name_H-M_alt 'R 3 m'
_space_group_IT_number 160
_space_group_name_Hall 'R 3 -2"'
loop_
_atom_site_label
_atom_site_fract_x
_atom_site_fract_y
_atom_site_fract_z
Ag1 0.0000 0.0000 0.0000
Sn1 0.0000 0.0000 0.8307
Au1 0.0000 0.0000 0.2503
Au2 0.0000 0.0000 0.4141
# size of the total moment = 0.000 Bohr magnetons per cell
# crystal system = trigonal
# DFT formation energy = 0.33 kcal/mol of atoms

---

# AgSnAu6 PBE-GGA optimized geometry
data_AgSnAu6
_cell_length_a 5.8008
_cell_length_b 5.8008
_cell_length_c 5.1894
_cell_angle_alpha 90.00
_cell_angle_beta 90.00
_cell_angle_gamma 120.00
_space_group_name_H-M_alt 'P -6 m 2'
_space_group_IT_number 187
_space_group_name_Hall 'P -6 2'
loop_
_atom_site_label
_atom_site_fract_x
_atom_site_fract_y
_atom_site_fract_z
Ag1 0.0000 0.0000 0.0000
Sn1 0.3333 0.6667 0.5000
Au1 0.3323 0.1662 0.5000
Au2 0.5008 0.0017 0.0000
# size of the total moment = 0.000 Bohr magnetons per cell
# energy relative to the lowest polymorph listed for this composition = 0.000 eV/atom
# crystal system = hexagonal
# DFT formation energy = -1.13 kcal/mol of atoms

---

# AgSnAu PBE-GGA optimized geometry
data_AgSnAu
_cell_length_a 8.729
_cell_length_b 4.877
_cell_length_c 6.269
_cell_angle_alpha 90.00
_cell_angle_beta 109.43
_cell_angle_gamma 90.00
_space_group_name_H-M_alt 'C 1 m 1'
_space_group_IT_number 8
_space_group_name_Hall 'C -2y'
loop_
_atom_site_label
_atom_site_fract_x
_atom_site_fract_y
_atom_site_fract_z
Ag1 0.000 0.000 0.000
Ag2 0.100 0.500 0.306
Sn1 0.307 0.000 0.902
Sn2 0.471 0.500 0.478
Au1 0.127 0.500 0.828
Au2 0.290 0.000 0.412
# size of the total moment = 0.000 Bohr magnetons per cell
# energy relative to the lowest polymorph listed for this composition = 0.023 eV/atom
# crystal system = monoclinic
# DFT formation energy = -0.85 kcal/mol of atoms

---

# AgSn2Au6 PBE-GGA optimized geometry
data_AgSn2Au6
_cell_length_a 4.584
_cell_length_b 14.230
_cell_length_c 5.809
_cell_angle_alpha 90.00
_cell_angle_beta 90.00
_cell_angle_gamma 90.00
_space_group_name_H-M_alt 'A m m 2'
_space_group_IT_number 38
_space_group_name_Hall 'A 2 -2'
loop_
_atom_site_label
_atom_site_fract_x
_atom_site_fract_y
_atom_site_fract_z
Ag1 0.000 0.000 0.000
Sn1 0.500 0.190 0.333
Au1 0.000 0.000 0.525
Au2 0.000 0.208 0.654
Au3 0.500 0.000 0.254
Au4 0.500 0.100 0.800
# size of the total moment = 0.000 Bohr magnetons per cell
# energy relative to the lowest polymorph listed for this composition = 0.007 eV/atom
# crystal system = orthorhombic
# DFT formation energy = 0.04 kcal/mol of atoms

---

# Ag2Sn2Au PBE-GGA optimized geometry
data_Ag2Sn2Au
_cell_length_a 7.989
_cell_length_b 7.989
_cell_length_c 3.549
_cell_angle_alpha 90.00
_cell_angle_beta 90.00
_cell_angle_gamma 90.00
_space_group_name_H-M_alt 'P 4/m b m'
_space_group_IT_number 127
_space_group_name_Hall '-P 4 2ab'
loop_
_atom_site_label
_atom_site_fract_x
_atom_site_fract_y
_atom_site_fract_z
Ag1 0.124 0.376 0.000
Sn1 0.178 0.678 0.500
Au1 0.000 0.000 0.500
# size of the total moment = 0.000 Bohr magnetons per cell
# energy relative to the lowest polymorph listed for this composition = 0.132 eV/atom
# crystal system = tetragonal
# DFT formation energy = 2.43 kcal/mol of atoms

---

# AgSnAu PBE-GGA optimized geometry
data_AgSnAu
_cell_length_a 3.774
_cell_length_b 3.774
_cell_length_c 8.656
_cell_angle_alpha 90.00
_cell_angle_beta 90.00
_cell_angle_gamma 90.00
_space_group_name_H-M_alt 'I 4 m m'
_space_group_IT_number 107
_space_group_name_Hall 'I 4 -2'
loop_
_atom_site_label
_atom_site_fract_x
_atom_site_fract_y
_atom_site_fract_z
Ag1 0.000 0.000 0.000
Sn1 0.000 0.000 0.328
Au1 0.000 0.000 0.665
# size of the total moment = 0.000 Bohr magnetons per cell
# energy relative to the lowest polymorph listed for this composition = 0.012 eV/atom
# crystal system = tetragonal
# DFT formation energy = -1.09 kcal/mol of atoms

---

# Ag12SnAu3 PBE-GGA optimized geometry
data_Ag12SnAu3
_cell_length_a 4.211
_cell_length_b 4.211
_cell_length_c 16.510
_cell_angle_alpha 90.00
_cell_angle_beta 90.00
_cell_angle_gamma 90.00
_space_group_name_H-M_alt 'P 4/m m m'
_space_group_IT_number 123
_space_group_name_Hall '-P 4 2'
loop_
_atom_site_label
_atom_site_fract_x
_atom_site_fract_y
_atom_site_fract_z
Ag1 0.000 0.000 0.000
Ag2 0.000 0.000 0.246
Ag3 0.000 0.000 0.500
Ag4 0.000 0.500 0.123
Ag5 0.000 0.500 0.370
Sn1 0.500 0.500 0.500
Au1 0.500 0.500 0.000
Au2 0.500 0.500 0.246
# size of the total moment = 0.000 Bohr magnetons per cell
# crystal system = tetragonal
# DFT formation energy = -0.32 kcal/mol of atoms

---

# Ag5Sn2Au4 PBE-GGA optimized geometry
data_Ag5Sn2Au4
_cell_length_a 21.273
_cell_length_b 2.983
_cell_length_c 6.976
_cell_angle_alpha 90.00
_cell_angle_beta 90.94
_cell_angle_gamma 90.00
_space_group_name_H-M_alt 'C 1 2/m 1'
_space_group_IT_number 12
_space_group_name_Hall '-C 2y'
loop_
_atom_site_label
_atom_site_fract_x
_atom_site_fract_y
_atom_site_fract_z
Ag1 0.000 0.000 0.000
Ag2 0.084 0.500 0.744
Ag3 0.148 0.500 0.095
Sn1 0.227 0.500 0.759
Au1 0.044 0.500 0.342
Au2 0.157 0.000 0.458
# size of the total moment = 0.000 Bohr magnetons per cell
# crystal system = monoclinic
# DFT formation energy = 0.82 kcal/mol of atoms

---

# Ag15Sn2Au2 PBE-GGA optimized geometry
data_Ag15Sn2Au2
_cell_length_a 9.6001
_cell_length_b 9.6001
_cell_length_c 14.3106
_cell_angle_alpha 90.00
_cell_angle_beta 90.00
_cell_angle_gamma 120.00
_space_group_name_H-M_alt 'R -3 m'
_space_group_IT_number 166
_space_group_name_Hall '-R 3 2"'
loop_
_atom_site_label
_atom_site_fract_x
_atom_site_fract_y
_atom_site_fract_z
Ag1 0.0000 0.3078 0.0000
Ag2 0.0000 0.5000 0.5000
Ag3 0.0032 0.5016 0.1540
Sn1 0.0000 0.0000 0.3209
Au1 0.0000 0.0000 0.1006
# size of the total moment = 0.000 Bohr magnetons per cell
# crystal system = trigonal
# DFT formation energy = 2.52 kcal/mol of atoms

---

# Ag6SnAu5 PBE-GGA optimized geometry
data_Ag6SnAu5
_cell_length_a 4.240
_cell_length_b 8.541
_cell_length_c 12.213
_cell_angle_alpha 90.00
_cell_angle_beta 90.00
_cell_angle_gamma 90.00
_space_group_name_H-M_alt 'I m m m'
_space_group_IT_number 71
_space_group_name_Hall '-I 2 2'
loop_
_atom_site_label
_atom_site_fract_x
_atom_site_fract_y
_atom_site_fract_z
Ag1 0.000 0.242 0.000
Ag2 0.000 0.254 0.332
Sn1 0.000 0.000 0.500
Au1 0.000 0.000 0.167
Au2 0.000 0.500 0.166
Au3 0.000 0.500 0.500
# size of the total moment = 0.000 Bohr magnetons per cell
# energy relative to the lowest polymorph listed for this composition = 0.000 eV/atom
# crystal system = orthorhombic
# DFT formation energy = -0.98 kcal/mol of atoms

---

# Ag3SnAu PBE-GGA optimized geometry
data_Ag3SnAu
_cell_length_a 7.762
_cell_length_b 5.586
_cell_length_c 11.237
_cell_angle_alpha 90.00
_cell_angle_beta 122.75
_cell_angle_gamma 90.00
_space_group_name_H-M_alt 'P 1 21/c 1'
_space_group_IT_number 14
_space_group_name_Hall '-P 2ybc'
loop_
_atom_site_label
_atom_site_fract_x
_atom_site_fract_y
_atom_site_fract_z
Ag1 0.109 0.004 0.348
Ag2 0.159 0.165 0.124
Ag3 0.268 0.504 0.421
Sn1 0.236 0.670 0.140
Au1 0.497 0.118 0.608
# size of the total moment = 0.000 Bohr magnetons per cell
# energy relative to the lowest polymorph listed for this composition = 0.000 eV/atom
# crystal system = monoclinic
# DFT formation energy = 0.67 kcal/mol of atoms

---

# Ag4SnAu5 PBE-GGA optimized geometry
data_Ag4SnAu5
_cell_length_a 3.557
_cell_length_b 3.557
_cell_length_c 14.867
_cell_angle_alpha 90.00
_cell_angle_beta 90.00
_cell_angle_gamma 90.00
_space_group_name_H-M_alt 'P 4/m m m'
_space_group_IT_number 123
_space_group_name_Hall '-P 4 2'
loop_
_atom_site_label
_atom_site_fract_x
_atom_site_fract_y
_atom_site_fract_z
Ag1 0.000 0.000 0.098
Ag2 0.000 0.000 0.293
Sn1 0.000 0.000 0.500
Au1 0.500 0.500 0.000
Au2 0.500 0.500 0.194
Au3 0.500 0.500 0.391
# size of the total moment = 0.000 Bohr magnetons per cell
# energy relative to the lowest polymorph listed for this composition = 0.000 eV/atom
# crystal system = tetragonal
# DFT formation energy = -0.71 kcal/mol of atoms